Entry w
Here is crystalline Tl2HgRu at its relaxed geometry from the Alexandria database. Energies are from PBE.

The structure in POSCAR format:
```
Tl2HgRu
1.0
7.511 0.034 -0.022
6.870 3.035 -0.022
1.484 0.317 4.452
Ru Tl Hg
1 2 1
direct
0.250 0.250 0.250 Ru
0.924 0.924 0.076 Tl
0.576 0.576 0.424 Tl
0.750 0.750 0.750 Hg
```

size of the total moment = 0.22 μB per formula unit
space group = No. 71
crystal system = orthorhombic

Entry x
Here is crystalline Tl2HgRu at its relaxed geometry from the Alexandria database. Energies are from PBE.

The structure in POSCAR format:
```
Tl2HgRu
1.0
-1.793 2.782 -0.081
-2.781 -1.794 -0.073
-0.273 0.074 8.584
Tl Hg Ru
2 1 1
direct
0.000 0.000 0.944 Tl
0.000 0.000 0.556 Tl
0.500 0.500 0.250 Hg
0.500 0.500 0.750 Ru
```

size of the total moment = 0.00 μB per formula unit
space group = No. 123
crystal system = tetragonal

Least stable structure: entry x

Entry w
Here is crystalline Tl2HgRu at its relaxed geometry from the Alexandria database. Energies are from PBE.

The structure in POSCAR format:
```
Tl2HgRu
1.0
-2.968 3.682 1.646
-0.007 4.437 -2.321
-3.975 1.407 -2.700
Hg Tl Ru
1 2 1
direct
0.500 0.500 0.500 Hg
0.750 0.750 0.750 Tl
0.250 0.250 0.250 Tl
0.000 0.000 0.000 Ru
```

size of the total moment = 1.08 μB per formula unit
space group = No. 225
crystal system = cubic

Entry x
Here is crystalline Tl2HgRu at its relaxed geometry from the Alexandria database. Energies are from PBE.

The structure in POSCAR format:
```
Tl2HgRu
1.0
-1.495 1.396 2.811
-2.486 -4.691 1.007
1.968 -4.464 3.263
Hg Tl Ru
1 2 1
direct
0.500 0.500 0.500 Hg
0.000 0.000 0.000 Tl
0.500 0.500 0.000 Tl
0.000 0.000 0.500 Ru
```

size of the total moment = 0.00 μB per formula unit
space group = No. 10
crystal system = monoclinic

Least stable structure: entry w

Entry w
Here is crystalline Tl2HgRu at its relaxed geometry from the Alexandria database. Energies are from PBE.

The structure in POSCAR format:
```
Tl2HgRu
1.0
3.247 0.000 0.000
0.000 5.476 0.000
0.000 0.000 5.074
Tl Hg Ru
2 1 1
direct
0.000 0.000 0.000 Tl
0.500 0.500 0.000 Tl
0.500 0.000 0.500 Hg
0.000 0.500 0.500 Ru
```

size of the total moment = 1.10 μB per formula unit
space group = No. 47
crystal system = orthorhombic

Entry x
Here is crystalline Tl2HgRu at its relaxed geometry from the Alexandria database. Energies are from PBE.

The structure in POSCAR format:
```
Tl2HgRu
1.0
-0.931 -4.000 2.910
-1.570 -4.310 -2.073
3.068 -3.987 -0.145
Tl Ru Hg
2 1 1
direct
0.250 0.250 0.250 Tl
0.000 0.000 0.000 Tl
0.750 0.750 0.750 Ru
0.500 0.500 0.500 Hg
```

size of the total moment = 0.82 μB per formula unit
space group = No. 216
crystal system = cubic

Least stable structure: entry x

Entry w
Here is crystalline TlHgRu at its relaxed geometry from the Alexandria database. Energies are from PBE.

The structure in POSCAR format:
```
TlHgRu
1.0
-1.580 -4.036 -1.485
0.563 -1.208 -4.383
2.932 -3.345 -1.096
Tl Hg Ru
1 1 1
direct
0.000 0.000 0.000 Tl
0.500 0.500 0.500 Hg
0.750 0.750 0.750 Ru
```

size of the total moment = 0.00 μB per formula unit
space group = No. 216
crystal system = cubic

Entry x
Here is crystalline TlHgRu at its relaxed geometry from the Alexandria database. Energies are from PBE.

The structure in POSCAR format:
```
TlHgRu
1.0
3.169 0.000 0.000
-1.584 2.744 0.000
0.000 0.000 7.149
Tl Ru Hg
1 1 1
direct
0.667 0.333 0.639 Tl
0.333 0.667 0.334 Ru
0.000 0.000 0.027 Hg
```

size of the total moment = 0.50 μB per formula unit
space group = No. 156
crystal system = trigonal

Entry y
Here is crystalline TlHgRu at its relaxed geometry from the Alexandria database. Energies are from PBE.

The structure in POSCAR format:
```
TlHgRu
1.0
-3.278 4.211 -2.905
-5.883 0.612 -1.383
4.218 -1.291 4.175
Ru Hg Tl
1 1 1
direct
0.668 0.668 0.000 Ru
0.021 0.021 0.000 Hg
0.311 0.311 0.000 Tl
```

size of the total moment = 0.00 μB per formula unit
space group = No. 107
crystal system = tetragonal

Least stable structure: entry x

Entry w
Here is crystalline TlHgRu2 at its relaxed geometry from the Alexandria database. Energies are from PBE.

The structure in POSCAR format:
```
TlHgRu2
1.0
-4.236 -1.980 -0.256
-1.072 -3.606 2.789
-3.067 0.572 3.492
Ru Hg Tl
2 1 1
direct
0.000 0.000 0.000 Ru
0.250 0.250 0.250 Ru
0.500 0.500 0.500 Hg
0.750 0.750 0.750 Tl
```

size of the total moment = 2.43 μB per formula unit
space group = No. 216
crystal system = cubic

Entry x
Here is crystalline TlHgRu2 at its relaxed geometry from the Alexandria database. Energies are from PBE.

The structure in POSCAR format:
```
TlHgRu2
1.0
-1.743 -1.770 -9.632
-3.922 -3.437 -8.470
-4.357 -0.526 -8.927
Ru Hg Tl
2 1 1
direct
0.260 0.260 0.260 Ru
0.992 0.992 0.992 Ru
0.740 0.740 0.740 Hg
0.508 0.508 0.508 Tl
```

size of the total moment = 0.00 μB per formula unit
space group = No. 160
crystal system = trigonal

Entry y
Here is crystalline TlHgRu2 at its relaxed geometry from the Alexandria database. Energies are from PBE.

The structure in POSCAR format:
```
TlHgRu2
1.0
4.341 0.000 0.000
0.000 2.998 0.006
0.000 1.309 5.714
Tl Ru Hg
1 2 1
direct
0.500 0.250 0.250 Tl
0.000 0.365 0.531 Ru
0.000 0.135 0.969 Ru
0.500 0.750 0.750 Hg
```

size of the total moment = 0.84 μB per formula unit
space group = No. 10
crystal system = monoclinic

Least stable structure: entry w

Entry w
Here is crystalline TlHgRu2 at its relaxed geometry from the Alexandria database. Energies are from PBE.

The structure in POSCAR format:
```
TlHgRu2
1.0
5.481 0.004 0.007
4.670 2.869 0.007
1.673 0.473 4.607
Ru Tl Hg
2 1 1
direct
0.724 0.724 0.705 Ru
0.025 0.025 0.047 Ru
0.483 0.483 0.568 Tl
0.268 0.268 0.180 Hg
```

size of the total moment = 0.79 μB per formula unit
space group = No. 8
crystal system = monoclinic

Entry x
Here is crystalline TlHgRu2 at its relaxed geometry from the Alexandria database. Energies are from PBE.

The structure in POSCAR format:
```
TlHgRu2
1.0
4.832 0.002 0.009
3.885 2.873 0.009
1.139 0.376 5.254
Hg Ru Tl
1 2 1
direct
0.250 0.250 0.250 Hg
0.004 0.004 0.032 Ru
0.496 0.496 0.468 Ru
0.750 0.750 0.750 Tl
```

size of the total moment = 0.21 μB per formula unit
space group = No. 12
crystal system = monoclinic

Entry y
Here is crystalline TlHgRu2 at its relaxed geometry from the Alexandria database. Energies are from PBE.

The structure in POSCAR format:
```
TlHgRu2
1.0
0.000 3.281 3.281
3.281 0.000 3.281
3.281 3.281 0.000
Ru Tl Hg
2 1 1
direct
0.250 0.250 0.250 Ru
0.750 0.750 0.750 Ru
0.500 0.500 0.500 Tl
0.000 0.000 0.000 Hg
```

size of the total moment = 1.70 μB per formula unit
space group = No. 225
crystal system = cubic

Least stable structure: entry y

Entry w
Here is crystalline TlHgRu2 at its relaxed geometry from the Alexandria database. Energies are from PBE.

The structure in POSCAR format:
```
TlHgRu2
1.0
-1.379 -2.513 0.674
2.393 -0.925 1.448
-3.057 3.658 7.389
Hg Ru Tl
1 2 1
direct
0.500 0.500 0.795 Hg
0.000 0.000 0.034 Ru
0.500 0.500 0.208 Ru
0.000 0.000 0.463 Tl
```

size of the total moment = 0.00 μB per formula unit
space group = No. 99
crystal system = tetragonal

Entry x
Here is crystalline TlHgRu2 at its relaxed geometry from the Alexandria database. Energies are from PBE.

The structure in POSCAR format:
```
TlHgRu2
1.0
-4.239 -1.391 1.223
1.840 -2.813 3.180
-0.152 2.421 2.229
Tl Ru Hg
1 2 1
direct
0.500 0.000 0.500 Tl
0.000 0.000 0.000 Ru
0.500 0.500 0.000 Ru
0.000 0.500 0.500 Hg
```

size of the total moment = 1.36 μB per formula unit
space group = No. 123
crystal system = tetragonal

Entry y
Here is crystalline TlHgRu2 at its relaxed geometry from the Alexandria database. Energies are from PBE.

The structure in POSCAR format:
```
TlHgRu2
1.0
-4.205 2.442 -1.498
-2.700 -2.952 -3.145
2.001 -0.846 4.601
Ru Hg Tl
2 1 1
direct
0.250 0.750 0.500 Ru
0.000 0.000 0.000 Ru
0.750 0.250 0.500 Hg
0.500 0.500 0.000 Tl
```

size of the total moment = 1.13 μB per formula unit
space group = No. 119
crystal system = tetragonal

Least stable structure: entry y

Entry w
Here is crystalline TlHgRu2 at its relaxed geometry from the Alexandria database. Energies are from PBE.

The structure in POSCAR format:
```
TlHgRu2
1.0
-2.187 -8.765 0.946
-1.552 -8.714 -2.038
0.697 -9.056 -0.005
Ru Tl Hg
2 1 1
direct
0.501 0.501 0.501 Ru
0.999 0.999 0.999 Ru
0.250 0.250 0.250 Tl
0.750 0.750 0.750 Hg
```

size of the total moment = 0.88 μB per formula unit
space group = No. 166
crystal system = trigonal

Entry x
Here is crystalline TlHgRu2 at its relaxed geometry from the Alexandria database. Energies are from PBE.

The structure in POSCAR format:
```
TlHgRu2
1.0
-1.968 2.863 -2.678
1.875 -0.880 -2.318
-2.675 -4.291 -2.620
Ru Tl Hg
2 1 1
direct
0.000 0.177 0.019 Ru
0.500 0.075 0.226 Ru
0.000 0.451 0.474 Tl
0.500 0.797 0.782 Hg
```

size of the total moment = 0.00 μB per formula unit
space group = No. 38
crystal system = orthorhombic

Entry y
Here is crystalline TlHgRu2 at its relaxed geometry from the Alexandria database. Energies are from PBE.

The structure in POSCAR format:
```
TlHgRu2
1.0
-6.561 2.408 -2.852
0.929 -4.532 -5.965
-4.131 -3.075 -3.084
Ru Tl Hg
4 2 2
direct
0.627 0.125 0.250 Ru
0.123 0.625 0.250 Ru
0.375 0.373 0.750 Ru
0.875 0.877 0.750 Ru
0.000 0.000 0.000 Tl
0.750 0.250 0.500 Tl
0.250 0.750 0.500 Hg
0.500 0.500 0.000 Hg
```

size of the total moment = 0.00 μB per formula unit
space group = No. 122
crystal system = tetragonal

Least stable structure: entry y